No. 1
This record from Alexandria via LeMat-Bulk describes HgAsSe2I after structural relaxation. The functional is PBE.

Properties
As for the formation energy without anion corrections: -0.16 eV per atom.

abc: 7.1927 5.4022 9.0448
angles: 90.00 93.87 90.00
Closest atoms and distances in Å follow each position.
Space group P2_1/m (No. 11)
Asymmetric unit:
Hg 0.2329 0.2500 0.4884 (multiplicity 2)  1 Se 2.54, 1 I 2.70
As 0.1211 0.2500 0.9064 (multiplicity 2)  2 Se 2.39-2.43
Se 0.0336 0.7500 0.3408 (multiplicity 2)  1 As 2.43, 1 Hg 2.54
Se 0.1636 0.7500 0.9713 (multiplicity 2)  1 As 2.39
I 0.4845 0.7500 0.6939 (multiplicity 2)  1 Hg 2.70

***

No. 2
This record from Alexandria via LeMat-Bulk describes Th2Co2Ni after structural relaxation. The functional is PBE.

Properties
For the formation energy, the calculation gives -277 meV per atom. The value obtained for the density of states at the Fermi level is 1.032 states/eV/atom.

abc: 7.1061 7.1061 3.6831
angles: 90.00 90.00 90.00
Closest atoms and distances in Å follow each position.
Space group P4/mbm (No. 127)
Asymmetric unit:
Th 0.1817 0.3183 0.0000 (multiplicity 4)  6 Co 2.67-2.89
Co 0.1259 0.6259 0.5000 (multiplicity 4)  1 Co 2.53, 2 Th 2.67, 2 Ni 2.80
Ni 0.0000 0.0000 0.5000 (multiplicity 2)  4 Co 2.80

***

No. 3
This record from Alexandria via LeMat-Bulk describes ZnTc3N after structural relaxation. The functional is PBE.

Properties
As for the formation energy without anion corrections: 0.07 eV per atom. The value obtained for the density of states at the Fermi level is 0.546 states/eV/atom.

abc: 5.2608 4.7237 5.3472
angles: 90.00 105.99 90.00
Closest atoms and distances in Å follow each position.
Space group Pc (No. 7)
Asymmetric unit:
Zn 0.0000 0.0643 0.0000 (multiplicity 2)  9 Tc 2.63-2.89, 2 Zn 2.74, 1 N 2.80
Tc 0.2393 0.4298 0.4229 (multiplicity 2)  2 N 2.11-2.14
Tc 0.5191 0.0892 0.1371 (multiplicity 2)  2 N 2.07-2.11
Tc 0.7721 0.4344 0.5651 (multiplicity 2)  2 N 2.12-2.17
N 0.5024 0.3110 0.7893 (multiplicity 2)  6 Tc 2.07-2.17

***

No. 4
This record from Alexandria via LeMat-Bulk describes Si2Ni2Bi after structural relaxation. The functional is PBE.

Properties
As for the formation energy without anion corrections: 0.09 eV per atom. The value obtained for the density of states at the Fermi level is 0.572 states/eV/atom.

abc: 7.3338 7.3338 2.9444
angles: 90.00 90.00 90.00
Closest atoms and distances in Å follow each position.
Space group P4/mbm (No. 127)
Asymmetric unit:
Si 0.1346 0.3654 0.0000 (multiplicity 4)  4 Ni 2.42
Ni 0.1278 0.6278 0.5000 (multiplicity 4)  4 Si 2.42, 1 Ni 2.65
Bi 0.0000 0.0000 0.5000 (multiplicity 2)  4 Ni 2.89, 2 Bi 2.94, 8 Si 3.21

***

No. 5
This record from Alexandria via LeMat-Bulk describes La8Nd3 after structural relaxation. The functional is PBE.

Properties
For the formation energy, the calculation gives 16 meV per atom. The value obtained for the density of states at the Fermi level is 2.110 states/eV/atom.

abc: 11.7673 5.2478 13.4102
angles: 90.00 105.17 90.00
Closest atoms and distances in Å follow each position.
Space group C2/m (No. 12)
Asymmetric unit:
La 0.0454 0.0000 0.3177 (multiplicity 4)  8 La 3.71-3.73, 4 Nd 3.72
La 0.1369 0.0000 0.9537 (multiplicity 4)  5 Nd 3.70-3.72, 7 La 3.70-3.74
La 0.1821 0.5000 0.7729 (multiplicity 4)  8 La 3.70-3.73, 4 Nd 3.71-3.73
La 0.2272 0.0000 0.5898 (multiplicity 4)  8 La 3.69-3.73, 4 Nd 3.71-3.74
Nd 0.0000 0.5000 0.5000 (multiplicity 2)  12 La 3.71-3.73
Nd 0.0913 0.5000 0.1358 (multiplicity 4)  11 La 3.70-3.74, 1 Nd 3.71

***

No. 6
This record from Alexandria via LeMat-Bulk describes LaTl2Ir after structural relaxation. The functional is PBE.

Properties
For the formation energy, the calculation gives -131 meV per atom. The value obtained for the density of states at the Fermi level is 0.641 states/eV/atom.

abc: 3.5968 3.5968 8.0713
angles: 90.00 90.00 90.00
Closest atoms and distances in Å follow each position.
Space group P4mm (No. 99)
Asymmetric unit:
La 0.0000 0.0000 0.0000 (multiplicity 1)  4 Ir 2.98, 1 Tl 3.27
Tl 0.0000 0.0000 0.5949 (multiplicity 1)  4 Ir 3.07, 1 La 3.27, 4 Tl 3.32
Tl 0.5000 0.5000 0.3298 (multiplicity 1)  8 Tl 3.32-3.60, 4 La 3.68
Ir 0.5000 0.5000 0.8077 (multiplicity 1)  4 La 2.98, 4 Tl 3.07